# 1
Material: ScMnW2
Method: DFT, PBE-GGA
State: relaxed

```
ScMnW2
1.0
0.000 3.165 3.165
3.165 0.000 3.165
3.165 3.165 0.000
Sc Mn W
1 1 2
direct
0.000 0.000 0.000
0.250 0.250 0.250
0.500 0.500 0.500
0.750 0.750 0.750
```

Values from the calculation:
* total magnetization: 1.64 Bohr magnetons per cell
* energy above the lowest structure with this stoichiometry: 0.32 eV/f.u.
* calculated total energy: -10.181 eV per atom
* E_form: 0.170 eV per atom

=====

# 2
Material: Ba2CdCuRh
Method: DFT, PBE-GGA
State: relaxed

```
Ba2CdCuRh
1.0
4.704 -7.609 0.000
4.704 7.609 0.000
0.000 0.000 4.572
Ba Cd Cu Rh
4 2 2 2
direct
0.092 0.353 0.250
0.353 0.092 0.750
0.647 0.908 0.250
0.908 0.647 0.750
0.315 0.685 0.750
0.685 0.315 0.250
0.043 0.957 0.250
0.957 0.043 0.750
0.211 0.789 0.250
0.789 0.211 0.750
```

Values from the calculation:
* total magnetization: 0.00 Bohr magnetons per cell
* energy above the lowest structure with this stoichiometry: 0.00 eV/f.u.
* calculated total energy: -3.417 eV per atom
* E_form: -0.175 eV per atom

=====

# 3
Material: TcIr2Ru
Method: DFT, PBE-GGA
State: relaxed

```
TcIr2Ru
1.0
0.000 3.094 3.094
3.094 0.000 3.094
3.094 3.094 0.000
Tc Ir Ru
1 2 1
direct
0.000 0.000 0.000
0.500 0.500 0.500
0.750 0.750 0.750
0.250 0.250 0.250
```

Values from the calculation:
* total magnetization: 0.68 Bohr magnetons per cell
* energy above the lowest structure with this stoichiometry: 2.52 eV/f.u.
* calculated total energy: -8.879 eV per atom
* E_form: 0.462 eV per atom

=====

# 4
Material: LiBeSe2
Method: DFT, PBE-GGA
State: relaxed

```
LiBeSe2
1.0
3.020 -1.662 0.000
3.020 1.662 0.000
-1.826 0.000 6.608
Li Be Se
1 1 2
direct
0.000 0.000 0.000
0.500 0.500 0.500
0.242 0.242 0.715
0.758 0.758 0.285
```

Values from the calculation:
* total magnetization: 0.00 Bohr magnetons per cell
* uncorrected formation energy: -0.5603 eV per atom
* calculated total energy: -3.713 eV per atom

=====

# 5
Material: NaMn2Pt
Method: DFT, PBE-GGA
State: relaxed

```
NaMn2Pt
1.0
0.000 3.024 3.024
3.024 0.000 3.024
3.024 3.024 0.000
Na Mn Pt
1 2 1
direct
0.000 0.000 0.000
0.250 0.250 0.250
0.750 0.750 0.750
0.500 0.500 0.500
```

Values from the calculation:
* total magnetization: 0.00 Bohr magnetons per cell
* energy above the lowest structure with this stoichiometry: 1.63 eV/f.u.
* calculated total energy: -5.548 eV per atom
* E_form: 0.876 eV per atom

=====

# 6
Material: BaTl2CdAg
Method: DFT, PBE-GGA
State: relaxed

```
BaTl2CdAg
1.0
5.568 0.000 0.000
0.000 5.568 0.000
0.000 0.000 5.397
Ba Tl Cd Ag
1 2 1 1
direct
0.000 0.000 0.000
0.000 0.500 0.500
0.500 0.000 0.500
0.500 0.500 0.000
0.500 0.500 0.500
```

Values from the calculation:
* total magnetization: 0.00 Bohr magnetons per cell
* energy above the lowest structure with this stoichiometry: 0.86 eV/f.u.
* calculated total energy: -2.141 eV per atom
* E_form: -0.056 eV per atom

=====

# 7
Material: KSnAs
Method: DFT, PBE-GGA
State: relaxed

```
KSnAs
1.0
7.633 0.000 0.000
0.000 6.471 0.000
-0.411 0.000 8.118
K Sn As
4 4 4
direct
0.149 0.098 0.290
0.149 0.402 0.790
0.851 0.598 0.210
0.851 0.902 0.710
0.497 0.718 0.433
0.497 0.782 0.933
0.503 0.218 0.067
0.503 0.282 0.567
0.293 0.603 0.160
0.293 0.897 0.660
0.707 0.103 0.340
0.707 0.397 0.840
```

Values from the calculation:
* total magnetization: 0.00 Bohr magnetons per cell
* calculated total energy: -3.559 eV per atom
* E_form: -0.309 eV per atom

=====

# 8
Material: Pr2Sm12Sc
Method: DFT, PBE-GGA
State: relaxed

```
Pr2Sm12Sc
1.0
3.594 -5.757 0.000
3.594 5.757 0.000
0.000 0.000 24.844
Pr Sm Sc
4 24 2
direct
0.250 0.750 0.237
0.250 0.750 0.771
0.750 0.250 0.229
0.750 0.250 0.763
0.001 0.999 0.428
0.002 0.502 0.622
0.020 0.520 0.083
0.024 0.976 0.940
0.250 0.250 0.174
0.250 0.250 0.304
0.250 0.250 0.696
0.250 0.250 0.826
0.476 0.524 0.940
0.480 0.980 0.083
0.498 0.998 0.622
0.499 0.501 0.428
0.501 0.499 0.572
0.502 0.002 0.378
0.520 0.020 0.917
0.524 0.476 0.060
0.750 0.750 0.174
0.750 0.750 0.304
0.750 0.750 0.696
0.750 0.750 0.826
0.976 0.024 0.060
0.980 0.480 0.917
0.998 0.498 0.378
0.999 0.001 0.572
0.250 0.750 0.500
0.750 0.250 0.500
```

Values from the calculation:
* total magnetization: 0.00 Bohr magnetons per cell
* calculated total energy: -4.674 eV per atom
* E_form: 0.160 eV per atom

=====

# 9
Material: Na2AuBr
Method: DFT, PBE-GGA
State: relaxed

```
Na2AuBr
1.0
0.000 3.696 3.696
3.696 0.000 3.696
3.696 3.696 0.000
Na Au Br
2 1 1
direct
0.250 0.250 0.250
0.750 0.750 0.750
0.000 0.000 0.000
0.500 0.500 0.500
```

Values from the calculation:
* total magnetization: 0.00 Bohr magnetons per cell
* uncorrected formation energy: -0.7434 eV per atom
* energy above the lowest structure with this stoichiometry: 0.37 eV/f.u.
* calculated total energy: -2.640 eV per atom

=====

# 10
Material: PaAgH6Pt
Method: DFT, PBE-GGA
State: relaxed

```
PaAgH6Pt
1.0
4.635 0.000 0.000
-2.318 4.014 0.000
0.000 0.000 4.380
Pa Ag H Pt
1 1 6 1
direct
0.000 0.000 0.000
0.333 0.667 0.500
0.512 0.024 0.183
0.512 0.024 0.817
0.512 0.488 0.183
0.512 0.488 0.817
0.976 0.488 0.183
0.976 0.488 0.817
0.667 0.333 0.500
```

Values from the calculation:
* total magnetization: 0.47 Bohr magnetons per cell
* calculated total energy: -4.276 eV per atom

=====

# 11
Material: Tb6Sm4Ho
Method: DFT, PBE-GGA
State: relaxed

```
Tb6Sm4Ho
1.0
-3.804 3.804 6.627
3.804 -3.804 6.627
3.804 3.804 -6.627
Tb Sm Ho
6 4 1
direct
0.000 0.500 0.500
0.050 0.579 0.000
0.421 0.421 0.470
0.500 0.000 0.500
0.579 0.050 0.000
0.950 0.950 0.530
0.250 0.250 0.655
0.405 0.750 0.000
0.595 0.595 0.345
0.750 0.405 0.000
0.000 0.000 0.000
```

Values from the calculation:
* total magnetization: 0.00 Bohr magnetons per cell
* energy above the lowest structure with this stoichiometry: 0.39 eV/f.u.
* calculated total energy: -4.231 eV per atom
* E_form: 0.427 eV per atom

=====

# 12
Material: ZrTlMo3
Method: DFT, PBE-GGA
State: relaxed

```
ZrTlMo3
1.0
4.944 0.000 0.000
0.000 4.944 0.000
0.000 0.000 4.944
Zr Tl Mo
1 1 3
direct
0.000 0.000 0.000
0.500 0.500 0.500
0.000 0.500 0.500
0.500 0.000 0.500
0.500 0.500 0.000
```

Values from the calculation:
* total magnetization: 0.00 Bohr magnetons per cell
* energy above the lowest structure with this stoichiometry: 1.86 eV/f.u.
* calculated total energy: -6.370 eV per atom
* E_form: 2.311 eV per atom

=====

# 13
Material: Ca3CdNi8
Method: DFT, PBE-GGA
State: relaxed

```
Ca3CdNi8
1.0
2.517 1.453 8.221
-2.517 1.453 8.221
0.000 -2.906 8.221
Ca Cd Ni
3 1 8
direct
0.000 0.000 0.000
0.127 0.127 0.127
0.505 0.505 0.505
0.627 0.627 0.627
0.060 0.565 0.565
0.065 0.065 0.567
0.065 0.567 0.065
0.314 0.314 0.314
0.565 0.060 0.565
0.565 0.565 0.060
0.567 0.065 0.065
0.815 0.815 0.815
```

Values from the calculation:
* total magnetization: 0.02 Bohr magnetons per cell
* calculated total energy: -4.596 eV per atom
* E_form: -0.166 eV per atom

=====

# 14
Material: KTlP2Cl
Method: DFT, PBE-GGA
State: relaxed

```
KTlP2Cl
1.0
6.148 0.000 0.000
0.000 6.148 0.000
0.000 0.000 5.712
K Tl P Cl
1 1 2 1
direct
0.000 0.000 0.000
0.500 0.500 0.500
0.000 0.500 0.000
0.500 0.000 0.000
0.000 0.000 0.500
```

Values from the calculation:
* total magnetization: 5.00 Bohr magnetons per cell
* uncorrected formation energy: 0.7197 eV per atom
* energy above the lowest structure with this stoichiometry: 2.49 eV/f.u.
* calculated total energy: -2.506 eV per atom

=====

# 15
Material: CsLuNb6Cl18
Method: DFT, PBE-GGA
State: relaxed

```
CsLuNb6Cl18
1.0
9.453 0.000 0.000
-4.727 8.187 0.000
0.000 0.000 17.503
Cs Lu Nb Cl
2 2 12 36
direct
0.333 0.667 0.250
0.667 0.333 0.750
0.333 0.667 0.750
0.667 0.333 0.250
0.045 0.197 0.932
0.045 0.848 0.568
0.152 0.197 0.568
0.152 0.955 0.932
0.197 0.045 0.432
0.197 0.152 0.068
0.803 0.848 0.932
0.803 0.955 0.568
0.848 0.045 0.068
0.848 0.803 0.432
0.955 0.152 0.432
0.955 0.803 0.068
0.052 0.234 0.160
0.052 0.818 0.340
0.098 0.450 0.837
0.098 0.647 0.663
0.131 0.413 0.499
0.131 0.718 0.001
0.182 0.234 0.340
0.182 0.948 0.160
0.234 0.052 0.660
0.234 0.182 0.840
0.282 0.413 0.001
0.282 0.869 0.499
0.353 0.450 0.663
0.353 0.902 0.837
0.413 0.131 0.999
0.413 0.282 0.501
0.450 0.098 0.337
0.450 0.353 0.163
0.550 0.647 0.837
0.550 0.902 0.663
0.587 0.718 0.499
0.587 0.869 0.001
0.647 0.098 0.163
0.647 0.550 0.337
0.718 0.131 0.501
0.718 0.587 0.999
0.766 0.818 0.160
0.766 0.948 0.340
0.818 0.052 0.840
0.818 0.766 0.660
0.869 0.282 0.999
0.869 0.587 0.501
0.902 0.353 0.337
0.902 0.550 0.163
0.948 0.182 0.660
0.948 0.766 0.840
```

Values from the calculation:
* total magnetization: 0.00 Bohr magnetons per cell
* uncorrected formation energy: -1.4971 eV per atom
* calculated total energy: -5.306 eV per atom

=====

# 16
Material: Cs4F
Method: DFT, PBE-GGA
State: relaxed

```
Cs4F
1.0
6.918 0.000 0.000
0.000 6.918 0.000
0.000 0.000 6.918
Cs F
4 1
direct
0.000 0.000 0.000
0.000 0.500 0.500
0.500 0.000 0.500
0.500 0.500 0.000
0.500 0.500 0.500
```

Values from the calculation:
* total magnetization: 0.54 Bohr magnetons per cell
* uncorrected formation energy: -0.8970 eV per atom
* energy above the lowest structure with this stoichiometry: 0.73 eV/f.u.
* calculated total energy: -1.954 eV per atom

=====

# 17
Material: Hg3WN
Method: DFT, PBE-GGA
State: relaxed

```
Hg3WN
1.0
5.338 0.000 0.000
0.000 5.338 0.000
0.000 0.000 5.338
Hg W N
3 1 1
direct
0.000 0.000 0.500
0.000 0.500 0.000
0.500 0.000 0.000
0.000 0.000 0.000
0.500 0.500 0.500
```

Values from the calculation:
* total magnetization: 0.77 Bohr magnetons per cell
* uncorrected formation energy: 2.2802 eV per atom
* energy above the lowest structure with this stoichiometry: 2.47 eV/f.u.
* calculated total energy: -2.157 eV per atom

=====

# 18
Material: Ba6Bi3I2
Method: DFT, PBE-GGA
State: relaxed

```
Ba6Bi3I2
1.0
4.480 -7.758 0.000
4.480 7.758 0.000
-2.987 0.000 8.235
Ba Bi I
6 3 2
direct
0.092 0.426 0.777
0.241 0.241 0.223
0.426 0.092 0.777
0.574 0.908 0.223
0.759 0.759 0.777
0.908 0.574 0.223
0.167 0.833 0.000
0.500 0.500 0.000
0.833 0.167 0.000
0.333 0.667 0.500
0.667 0.333 0.500
```

Values from the calculation:
* total magnetization: 1.00 Bohr magnetons per cell
* uncorrected formation energy: -1.1258 eV per atom
* calculated total energy: -3.515 eV per atom

=====

# 19
Material: BaSc2S
Method: DFT, PBE-GGA
State: relaxed

```
BaSc2S
1.0
-3.884 3.884 5.445
3.884 -3.884 5.445
3.884 3.884 -5.445
Ba Sc S
2 4 2
direct
0.000 0.000 0.000
0.750 0.250 0.500
0.351 0.625 0.226
0.375 0.601 0.726
0.399 0.125 0.774
0.875 0.649 0.274
0.250 0.750 0.500
0.500 0.500 0.000
```

Values from the calculation:
* total magnetization: 2.05 Bohr magnetons per cell
* uncorrected formation energy: -0.3142 eV per atom
* calculated total energy: -4.993 eV per atom

=====

# 20
Material: MgCr4Bi2
Method: DFT, PBE-GGA
State: relaxed

```
MgCr4Bi2
1.0
-2.367 2.367 7.360
2.367 -2.367 7.360
2.367 2.367 -7.360
Mg Cr Bi
1 4 2
direct
0.000 0.000 0.000
0.000 0.500 0.500
0.183 0.183 0.000
0.500 0.000 0.500
0.817 0.817 0.000
0.374 0.374 0.000
0.626 0.626 0.000
```

Values from the calculation:
* total magnetization: 15.06 Bohr magnetons per cell
* calculated total energy: -5.758 eV per atom
* E_form: 1.078 eV per atom